18
Lattice="4.221 2.437 5.045 -4.221 2.437 5.045 0.000 -4.874 5.045" Properties=species:S:1:pos:R:3 comment="Sm2NiP3Rh12 | the Alexandria database | GGA-PBE | optimized geometry" magmom_total_mub_per_fu=0.958 dft_energy_ev_per_cell=-122.91 formation_energy_ev_per_atom=-0.1803 pbc="T T T"
Sm 0.000 0.000 1.641
Sm 0.000 0.000 13.495
Ni 0.000 0.000 7.568
P -2.110 -1.218 5.045
P -2.110 1.218 10.091
P 0.000 2.437 5.045
Rh -2.114 -1.220 7.243
Rh 0.000 -2.051 4.629
Rh -1.776 1.025 4.629
Rh 0.000 -2.441 7.893
Rh -2.114 1.220 7.893
Rh -1.776 -1.025 10.507
Rh 1.776 1.025 4.629
Rh 2.114 -1.220 7.243
Rh 0.000 2.441 7.243
Rh 1.776 -1.025 10.507
Rh 0.000 2.051 10.507
Rh 2.114 1.220 7.893

---

10
Lattice="4.055 0.000 0.000 0.000 4.055 0.000 0.000 0.000 9.267" Properties=species:S:1:pos:R:3 comment="Sm2Ni3P4Rh | the Alexandria database | GGA-PBE | optimized geometry" magmom_total_mub_per_fu=0.000 dft_energy_ev_per_cell=-65.89 formation_energy_ev_per_atom=-1.0116 pbc="T T T"
Sm 0.000 2.028 2.237
Sm 2.028 0.000 7.030
Ni 0.000 2.028 8.214
Ni 2.028 0.000 1.053
Ni 2.028 2.028 4.634
P 0.000 0.000 0.000
P 0.000 2.028 5.906
P 2.028 0.000 3.361
P 2.028 2.028 0.000
Rh 0.000 0.000 4.634